No. 1
DFT (GGA-PBE) results for crystalline KSiMo2 at its relaxed geometry.

abc: 5.6492 5.6492 2.6213
angles: 90.00 90.00 119.65
Atoms (fractional coordinates):
K 0.0000 0.0000 0.0000
Si 0.5000 0.5000 0.0000
Mo 0.0000 0.5000 0.5000
Mo 0.5000 0.0000 0.5000

Computed properties:
Total DFT energy (no corrections) (eV for the cell shown): -22.99
Symmetry: Cmmm (65)
N(E_F) (states/eV/f.u.): 4.6

***

No. 2
DFT (GGA-PBE) results for crystalline TlInBr3 at its relaxed geometry.

abc: 8.3900 7.6918 14.8823
angles: 90.00 113.61 90.00
Atoms (fractional coordinates):
Tl 0.2016 0.0883 0.1769
Tl 0.2016 0.4117 0.6769
Tl 0.7984 0.5883 0.3231
Tl 0.7984 0.9117 0.8231
In 0.3677 0.6048 0.4354
In 0.3677 0.8952 0.9354
In 0.6323 0.1048 0.0646
In 0.6323 0.3952 0.5646
Br 0.1373 0.0418 0.7781
Br 0.1373 0.4582 0.2781
Br 0.1618 0.7387 0.5098
Br 0.1618 0.7613 0.0098
Br 0.4909 0.6459 0.8633
Br 0.4909 0.8541 0.3633
Br 0.5091 0.1459 0.6367
Br 0.5091 0.3541 0.1367
Br 0.8382 0.2387 0.9902
Br 0.8382 0.2613 0.4902
Br 0.8627 0.5418 0.7219
Br 0.8627 0.9582 0.2219

Computed properties:
Total DFT energy (no corrections) (eV for the cell shown): -56.87
Symmetry: P2_1/c (14)
N(E_F) (states/eV/f.u.): 0.0

***

No. 3
DFT (GGA-PBE) results for crystalline Hf2MnTlH at its relaxed geometry.

abc: 4.5736 4.5736 3.7578
angles: 90.00 90.00 90.00
Atoms (fractional coordinates):
Hf 0.0000 0.5000 0.0000
Hf 0.5000 0.0000 0.0000
Mn 0.0000 0.0000 0.5000
Tl 0.5000 0.5000 0.5000
H 0.0000 0.0000 0.0000

Computed properties:
Total DFT energy (no corrections) (eV for the cell shown): -34.75
Symmetry: P4/mmm (123)
N(E_F) (states/eV/f.u.): 3.0

***

No. 4
DFT (GGA-PBE) results for crystalline SrSiSbTe2 at its relaxed geometry.

abc: 5.4658 5.4658 5.2623
angles: 90.00 90.00 90.00
Atoms (fractional coordinates):
Sr 0.0000 0.0000 0.0000
Si 0.5000 0.5000 0.5000
Sb 0.5000 0.5000 0.0000
Te 0.0000 0.5000 0.5000
Te 0.5000 0.0000 0.5000

Computed properties:
Energy relative to the lowest polymorph listed for this composition (eV per atom): 0.000
Symmetry: P4/mmm (123)
N(E_F) (states/eV/f.u.): 5.8

***

No. 5
DFT (GGA-PBE) results for crystalline NaNpNiSe3 at its relaxed geometry.

abc: 8.4025 3.9989 9.0920
angles: 90.00 104.38 90.00
Atoms (fractional coordinates):
Na 0.1908 0.2500 0.2353
Na 0.8092 0.7500 0.7647
Np 0.3187 0.7500 0.8344
Np 0.6813 0.2500 0.1656
Ni 0.0828 0.2500 0.5829
Ni 0.9172 0.7500 0.4171
Se 0.0943 0.2500 0.8538
Se 0.2105 0.7500 0.5203
Se 0.4369 0.7500 0.1613
Se 0.5631 0.2500 0.8387
Se 0.7895 0.2500 0.4797
Se 0.9057 0.7500 0.1462

Computed properties:
Total DFT energy (no corrections) (eV for the cell shown): -71.86
Symmetry: P2_1/m (11)
N(E_F) (states/eV/f.u.): 11.2

***

No. 6
DFT (GGA-PBE) results for crystalline La6Tb5 at its relaxed geometry.

abc: 8.6114 8.6114 6.1808
angles: 107.23 107.23 104.37
Atoms (fractional coordinates):
La 0.0459 0.3255 0.6100
La 0.1797 0.1797 0.0716
La 0.3255 0.0459 0.6100
La 0.6745 0.9541 0.3900
La 0.8203 0.8203 0.9284
La 0.9541 0.6745 0.3900
Tb 0.2338 0.7662 0.0000
Tb 0.3691 0.6309 0.5000
Tb 0.5000 0.5000 0.0000
Tb 0.6309 0.3691 0.5000
Tb 0.7662 0.2338 0.0000

Computed properties:
Energy relative to the lowest polymorph listed for this composition (eV per atom): 0.009
Symmetry: C2/m (12)
N(E_F) (states/eV/f.u.): 18.2
Formation energy (eV per atom): 0.118

***

No. 7
DFT (GGA-PBE) results for crystalline Na8SbAu2 at its relaxed geometry.

abc: 5.2450 7.2063 9.1948
angles: 113.03 106.57 90.03
Atoms (fractional coordinates):
Na 0.0000 0.0000 0.0000
Na 0.0303 0.5042 0.0617
Na 0.1960 0.3419 0.3983
Na 0.3674 0.8402 0.7348
Na 0.3978 0.3971 0.7960
Na 0.5940 0.9125 0.1896
Na 0.6975 0.6238 0.3984
Na 0.8015 0.1208 0.6049
Sb 0.1980 0.9008 0.3981
Au 0.5362 0.2495 0.0709
Au 0.8628 0.5766 0.7255

Computed properties:
Total DFT energy (no corrections) (eV for the cell shown): -24.15
Symmetry: P1 (1)
N(E_F) (states/eV/f.u.): 3.4

***

No. 8
DFT (GGA-PBE) results for crystalline YBePtO2 at its relaxed geometry.

abc: 4.0160 4.0160 7.8619
angles: 90.00 90.00 90.00
Atoms (fractional coordinates):
Y 0.0000 0.0000 0.0000
Be 0.0000 0.0000 0.5000
Pt 0.5000 0.5000 0.5000
O 0.0000 0.5000 0.0000
O 0.5000 0.0000 0.0000

Computed properties:
Total DFT energy (no corrections) (eV for the cell shown): -27.18
Symmetry: P4/mmm (123)
N(E_F) (states/eV/f.u.): 4.6

***

These records have volume values of 18.2; 44.0; 15.7; 31.4; 24.7; 35.3; 27.6; 25.4 Å³ per atom, in the order they appear.